(1)
A geometry-optimized Mn2FeHRu structure, computed with GGA-PBE.

a = 3.644 Å, b = 3.644 Å, c = 3.611 Å
α = 90.00°, β = 90.00°, γ = 90.00°
Site moments in Bohr magnetons follow the coordinates.
Fractional coordinates of all 5 atoms:
Ru 0.500 0.500 0.500  -0.09
Mn 0.000 0.500 0.000  0.22
Mn 0.500 0.000 0.000  0.22
Fe 0.000 0.000 0.500  0.94
H 0.000 0.000 0.000  -0.01

## Properties
magnetic moment	1.28	μB per cell
excess energy over the best structure of this formula in the dataset	4.15	kJ per mole of atoms
SG	P4/mmm, No. 123
volume	9.591	Å³ per atom

(2)
A geometry-optimized SrPrCdIr structure, computed with GGA-PBE.

a = 5.277 Å, b = 5.277 Å, c = 5.277 Å
α = 60.00°, β = 60.00°, γ = 60.00°
Fractional coordinates of all 4 atoms:
Pr 0.500 0.500 0.500
Sr 0.000 0.000 0.000
Ir 0.250 0.250 0.250
Cd 0.750 0.750 0.750

## Properties
magnetic moment	0.00	μB per cell
E_form	-0.23	eV/atom
SG	F-43m, No. 216
volume	25.979	Å³ per atom

(3)
A geometry-optimized Ho4Tl3Ru structure, computed with GGA-PBE.

a = 3.544 Å, b = 3.544 Å, c = 15.961 Å
α = 90.00°, β = 90.00°, γ = 90.00°
Site moments in Bohr magnetons follow the coordinates.
Fractional coordinates of all 8 atoms:
Ru 0.500 0.500 0.000  0.00
Tl 0.500 0.500 0.238  0.00
Tl 0.500 0.500 0.500  0.00
Tl 0.500 0.500 0.762  0.00
Ho 0.000 0.000 0.899  -0.01
Ho 0.000 0.000 0.101  -0.01
Ho 0.000 0.000 0.368  0.11
Ho 0.000 0.000 0.632  0.11

## Properties
magnetic moment	0.26	μB per cell
E_form	-0.37	eV/atom
SG	P4/mmm, No. 123
volume	25.062	Å³ per atom

(4)
A geometry-optimized BaGaB4H3O10 structure, computed with GGA-PBE.

a = 7.243 Å, b = 7.252 Å, c = 19.154 Å
α = 83.72°, β = 79.10°, γ = 60.04°
Fractional coordinates of all 76 atoms:
Ba 0.619 0.808 0.603
Ba 0.030 0.692 0.897
Ba 0.381 0.192 0.397
Ba 0.970 0.308 0.103
Ga 0.964 0.150 0.560
Ga 0.674 0.350 0.940
Ga 0.036 0.850 0.440
Ga 0.326 0.650 0.060
B 0.104 0.705 0.603
B 0.412 0.795 0.897
B 0.896 0.295 0.397
B 0.588 0.205 0.103
B 0.242 0.326 0.572
B 0.140 0.174 0.928
B 0.758 0.674 0.428
B 0.860 0.826 0.072
B 0.500 0.442 0.579
B 0.520 0.058 0.921
B 0.500 0.558 0.421
B 0.480 0.942 0.079
B 0.940 0.966 0.705
B 0.611 0.534 0.795
B 0.060 0.034 0.295
B 0.389 0.466 0.205
H 0.841 0.120 0.798
H 0.759 0.380 0.702
H 0.159 0.880 0.202
H 0.241 0.620 0.298
H 0.189 0.090 0.708
H 0.987 0.410 0.792
H 0.811 0.910 0.292
H 0.013 0.590 0.208
H 0.354 0.928 0.759
H 0.041 0.572 0.741
H 0.646 0.072 0.241
H 0.959 0.428 0.259
O 0.334 0.643 0.597
O 0.573 0.857 0.903
O 0.666 0.357 0.403
O 0.427 0.143 0.097
O 0.705 0.411 0.564
O 0.679 0.089 0.936
O 0.295 0.589 0.436
O 0.321 0.911 0.064
O 0.457 0.276 0.573
O 0.306 0.224 0.927
O 0.543 0.724 0.427
O 0.694 0.776 0.073
O 0.222 0.165 0.549
O 0.937 0.335 0.951
O 0.778 0.835 0.451
O 0.063 0.665 0.049
O 0.074 0.523 0.590
O 0.188 0.977 0.910
O 0.926 0.477 0.410
O 0.812 0.023 0.090
O 0.989 0.776 0.676
O 0.441 0.724 0.824
O 0.011 0.224 0.324
O 0.559 0.276 0.176
O 0.995 0.876 0.551
O 0.422 0.624 0.949
O 0.005 0.124 0.449
O 0.578 0.376 0.051
O 0.934 0.136 0.665
O 0.735 0.364 0.835
O 0.066 0.864 0.335
O 0.265 0.636 0.165
O 0.899 0.974 0.779
O 0.652 0.526 0.721
O 0.101 0.026 0.221
O 0.348 0.474 0.279
O 0.339 0.021 0.716
O 0.076 0.479 0.784
O 0.661 0.979 0.284
O 0.924 0.521 0.216

## Properties
magnetic moment	0.00	μB per cell
total DFT energy (no corrections)	-529.46	eV per cell
SG	C2/c, No. 15
volume	11.261	Å³ per atom

(5)
A geometry-optimized Al2ZnOs structure, computed with GGA-PBE.

a = 4.333 Å, b = 4.333 Å, c = 4.333 Å
α = 60.00°, β = 60.00°, γ = 60.00°
Fractional coordinates of all 4 atoms:
Zn 0.750 0.750 0.750
Os 0.500 0.500 0.500
Al 0.000 0.000 0.000
Al 0.250 0.250 0.250

## Properties
magnetic moment	0.00	μB per cell
E_form	0.04	eV/atom
SG	F-43m, No. 216
volume	14.383	Å³ per atom

(6)
A geometry-optimized MnFe3Te structure, computed with GGA-PBE.

a = 4.676 Å, b = 4.676 Å, c = 4.676 Å
α = 90.00°, β = 90.00°, γ = 90.00°
Site moments in Bohr magnetons follow the coordinates.
Fractional coordinates of all 5 atoms:
Te 0.000 0.000 0.000  -0.04
Fe 0.000 0.500 0.000  2.38
Fe 0.000 0.000 0.500  2.39
Fe 0.500 0.000 0.000  2.42
Mn 0.500 0.500 0.500  4.15

## Properties
magnetic moment	11.22	μB per cell
E_form (uncorrected)	1.28	eV/atom
excess energy over the best structure of this formula in the dataset	22.46	kJ per mole of atoms
SG	Pm-3m, No. 221
volume	20.446	Å³ per atom

(7)
A geometry-optimized Sm4Ho2Er structure, computed with GGA-PBE.

a = 6.193 Å, b = 6.596 Å, c = 11.543 Å
α = 90.00°, β = 104.70°, γ = 90.00°
Fractional coordinates of all 14 atoms:
Sm 0.650 0.509 0.286
Sm 0.040 0.750 0.865
Sm 0.960 0.250 0.135
Sm 0.650 0.991 0.286
Sm 0.850 0.250 0.550
Sm 0.350 0.009 0.714
Sm 0.350 0.491 0.714
Sm 0.150 0.750 0.450
Ho 0.609 0.750 0.995
Ho 0.391 0.250 0.005
Ho 0.288 0.250 0.423
Ho 0.712 0.750 0.577
Er 0.152 0.750 0.164
Er 0.848 0.250 0.836

## Properties
magnetic moment	0.00	μB per cell
excess energy over the best structure of this formula in the dataset	7.31	kJ per mole of atoms
E_form	0.13	eV/atom
SG	P2_1/m, No. 11
volume	32.574	Å³ per atom

(8)
A geometry-optimized Nd2ThNi6 structure, computed with GGA-PBE.

a = 3.704 Å, b = 7.766 Å, c = 7.766 Å
α = 53.67°, β = 76.20°, γ = 76.20°
Fractional coordinates of all 9 atoms:
Nd 0.848 0.652 0.652
Nd 0.152 0.348 0.348
Th 0.000 0.000 0.000
Ni 0.653 0.016 0.678
Ni 0.347 0.984 0.322
Ni 0.347 0.322 0.984
Ni 0.500 0.670 0.330
Ni 0.500 0.330 0.670
Ni 0.653 0.678 0.016

## Properties
magnetic moment	0.00	μB per cell
excess energy over the best structure of this formula in the dataset	19.12	kJ per mole of atoms
E_form	-0.15	eV/atom
SG	Immm, No. 71
volume	19.271	Å³ per atom